Entry 1:
First-principles (GGA-PBE) data for an optimized crystal structure of DyZnGaRu, as listed in Alexandria via LeMat-Bulk.

Computed properties:
- energy above the most stable polymorph in this dataset (eV per formula unit) = 0.00
- VASP energy (eV per cell) = -58.55
- formation energy (eV/atom) = -0.335

```
data_DyZnGaRu
_space_group_name_H-M_alt 'R 3 m'
_space_group_IT_number 160
_space_group_name_Hall 'R 3 -2"'
_cell_length_a 4.2822
_cell_length_b 4.2822
_cell_length_c 14.4502
_cell_angle_alpha 90.00
_cell_angle_beta 90.00
_cell_angle_gamma 120.00
loop_
_atom_site_label
_atom_site_type_symbol
_atom_site_fract_x
_atom_site_fract_y
_atom_site_fract_z
_atom_site_occupancy
Dy1 Dy 0.0000 0.0000 0.0000 1
Zn1 Zn 0.0000 0.0000 0.2121 1
Ga1 Ga 0.0000 0.0000 0.7848 1
Ru1 Ru 0.0000 0.0000 0.4630 1
```


Entry 2:
First-principles (GGA-PBE) data for an optimized crystal structure of TmPu2S5, as listed in Alexandria via LeMat-Bulk.

Computed properties:
- VASP energy (eV per cell) = -261.89
- formation energy from raw total energies (kJ per mole of atoms) = -141

```
data_TmPu2S5
_space_group_name_H-M_alt 'F m m m'
_space_group_IT_number 69
_space_group_name_Hall '-F 2 2'
_cell_length_a 5.268
_cell_length_b 8.646
_cell_length_c 15.091
_cell_angle_alpha 90.00
_cell_angle_beta 90.00
_cell_angle_gamma 90.00
loop_
_atom_site_label
_atom_site_type_symbol
_atom_site_fract_x
_atom_site_fract_y
_atom_site_fract_z
_atom_site_occupancy
Tm1 Tm 0.000 0.000 0.000 1
Pu1 Pu 0.000 0.000 0.322 1
S1 S 0.000 0.000 0.500 1
S2 S 0.000 0.164 0.156 1
```


Entry 3:
First-principles (GGA-PBE) data for an optimized crystal structure of Ag2TeAs, as listed in Alexandria via LeMat-Bulk.

Computed properties:
- energy above the most stable polymorph in this dataset (eV per formula unit) = 0.61
- VASP energy (eV per cell) = -25.07
- formation energy from raw total energies (kJ per mole of atoms) = 23

```
data_Ag2TeAs
_space_group_name_H-M_alt 'C m m m'
_space_group_IT_number 65
_space_group_name_Hall '-C 2 2'
_cell_length_a 4.236
_cell_length_b 4.764
_cell_length_c 8.710
_cell_angle_alpha 90.00
_cell_angle_beta 90.00
_cell_angle_gamma 90.00
loop_
_atom_site_label
_atom_site_type_symbol
_atom_site_fract_x
_atom_site_fract_y
_atom_site_fract_z
_atom_site_occupancy
Ag1 Ag 0.000 0.000 0.214 1
Te1 Te 0.000 0.500 0.500 1
As1 As 0.000 0.500 0.000 1
```


Entry 4:
First-principles (GGA-PBE) data for an optimized crystal structure of Sm2Dy4Tm5, as listed in Alexandria via LeMat-Bulk.

Computed properties:
- energy above the most stable polymorph in this dataset (eV per formula unit) = 0.00
- VASP energy (eV per cell) = -49.97
- formation energy (eV/atom) = 0.021

```
data_Sm2Dy4Tm5
_space_group_name_H-M_alt 'P -1'
_space_group_IT_number 2
_cell_length_a 3.528
_cell_length_b 8.650
_cell_length_c 11.714
_cell_angle_alpha 75.93
_cell_angle_beta 81.38
_cell_angle_gamma 89.98
loop_
_space_group_symop_operation_xyz
'x,y,z'
'-x,-y,-z'
loop_
_atom_site_label
_atom_site_type_symbol
_atom_site_fract_x
_atom_site_fract_y
_atom_site_fract_z
_atom_site_occupancy
Sm1 Sm 0.092 0.230 0.317 1
Dy1 Dy 0.182 0.954 0.136 1
Dy2 Dy 0.454 0.139 0.592 1
Tm1 Tm 0.000 0.500 0.500 1
Tm2 Tm 0.271 0.680 0.956 1
Tm3 Tm 0.364 0.408 0.774 1
```


Entry 5:
First-principles (GGA-PBE) data for an optimized crystal structure of KCdTc2, as listed in Alexandria via LeMat-Bulk.

Computed properties:
- VASP energy (eV per cell) = -18.76
- formation energy (eV/atom) = 0.997

```
data_KCdTc2
_space_group_name_H-M_alt 'P 4/m m m'
_space_group_IT_number 123
_space_group_name_Hall '-P 4 2'
_cell_length_a 2.700
_cell_length_b 2.700
_cell_length_c 10.524
_cell_angle_alpha 90.00
_cell_angle_beta 90.00
_cell_angle_gamma 90.00
loop_
_atom_site_label
_atom_site_type_symbol
_atom_site_fract_x
_atom_site_fract_y
_atom_site_fract_z
_atom_site_occupancy
K1 K 0.000 0.000 0.000 1
Cd1 Cd 0.000 0.000 0.500 1
Tc1 Tc 0.500 0.500 0.280 1
```


Entry 6:
First-principles (GGA-PBE) data for an optimized crystal structure of Th2ZnGaRh6, as listed in Alexandria via LeMat-Bulk.

Computed properties:
- VASP energy (eV per cell) = -69.53
- formation energy (eV/atom) = -0.628

```
data_Th2ZnGaRh6
_space_group_name_H-M_alt 'P -1'
_space_group_IT_number 2
_cell_length_a 5.577
_cell_length_b 6.355
_cell_length_c 6.387
_cell_angle_alpha 83.63
_cell_angle_beta 64.12
_cell_angle_gamma 64.06
loop_
_space_group_symop_operation_xyz
'x,y,z'
'-x,-y,-z'
loop_
_atom_site_label
_atom_site_type_symbol
_atom_site_fract_x
_atom_site_fract_y
_atom_site_fract_z
_atom_site_occupancy
Th1 Th 0.248 0.241 0.264 1
Zn1 Zn 0.500 0.500 0.500 1
Ga1 Ga 0.000 0.000 0.000 1
Rh1 Rh 0.197 0.807 0.301 1
Rh2 Rh 0.250 0.548 0.952 1
Rh3 Rh 0.305 0.192 0.700 1
```


Entry 7:
First-principles (GGA-PBE) data for an optimized crystal structure of VZnSbTe2, as listed in Alexandria via LeMat-Bulk.

Computed properties:
- energy above the most stable polymorph in this dataset (eV per formula unit) = 0.00
- VASP energy (eV per cell) = -19.21
- formation energy from raw total energies (kJ per mole of atoms) = 31

```
data_VZnSbTe2
_space_group_name_H-M_alt 'P 4/m m m'
_space_group_IT_number 123
_space_group_name_Hall '-P 4 2'
_cell_length_a 5.175
_cell_length_b 5.175
_cell_length_c 5.250
_cell_angle_alpha 90.00
_cell_angle_beta 90.00
_cell_angle_gamma 90.00
loop_
_atom_site_label
_atom_site_type_symbol
_atom_site_fract_x
_atom_site_fract_y
_atom_site_fract_z
_atom_site_occupancy
V1 V 0.000 0.000 0.000 1
Zn1 Zn 0.500 0.500 0.500 1
Sb1 Sb 0.000 0.000 0.500 1
Te1 Te 0.000 0.500 0.000 1
```


Entry 8:
First-principles (GGA-PBE) data for an optimized crystal structure of Tb2Ho2Mg, as listed in Alexandria via LeMat-Bulk.

Computed properties:
- energy above the most stable polymorph in this dataset (eV per formula unit) = 0.00
- VASP energy (eV per cell) = -40.19
- formation energy (eV/atom) = -0.016

```
data_Tb2Ho2Mg
_space_group_name_H-M_alt 'I 4/m m m'
_space_group_IT_number 139
_space_group_name_Hall '-I 4 2'
_cell_length_a 3.564
_cell_length_b 3.564
_cell_length_c 23.531
_cell_angle_alpha 90.00
_cell_angle_beta 90.00
_cell_angle_gamma 90.00
loop_
_atom_site_label
_atom_site_type_symbol
_atom_site_fract_x
_atom_site_fract_y
_atom_site_fract_z
_atom_site_occupancy
Tb1 Tb 0.000 0.000 0.094 1
Ho1 Ho 0.000 0.000 0.303 1
Mg1 Mg 0.000 0.000 0.500 1
```


Entry 9:
First-principles (GGA-PBE) data for an optimized crystal structure of Dy2HoIn, as listed in Alexandria via LeMat-Bulk.

Computed properties:
- energy above the most stable polymorph in this dataset (eV per formula unit) = 0.56
- VASP energy (eV per cell) = -68.09
- formation energy (eV/atom) = -0.125

```
data_Dy2HoIn
_space_group_name_H-M_alt 'F m -3 m'
_space_group_IT_number 225
_space_group_name_Hall '-F 4 2 3'
_cell_length_a 7.690
_cell_length_b 7.690
_cell_length_c 7.690
_cell_angle_alpha 90.00
_cell_angle_beta 90.00
_cell_angle_gamma 90.00
loop_
_atom_site_label
_atom_site_type_symbol
_atom_site_fract_x
_atom_site_fract_y
_atom_site_fract_z
_atom_site_occupancy
Dy1 Dy 0.250 0.250 0.250 1
Ho1 Ho 0.000 0.000 0.000 1
In1 In 0.000 0.000 0.500 1
```


Entry 10:
First-principles (GGA-PBE) data for an optimized crystal structure of InCuRe2, as listed in Alexandria via LeMat-Bulk.

Computed properties:
- VASP energy (eV per cell) = -30.82
- formation energy (eV/atom) = 0.227

```
data_InCuRe2
_space_group_name_H-M_alt 'P 1 m 1'
_space_group_IT_number 6
_cell_length_a 3.019
_cell_length_b 3.017
_cell_length_c 7.036
_cell_angle_alpha 90.00
_cell_angle_beta 90.09
_cell_angle_gamma 90.00
loop_
_space_group_symop_operation_xyz
'x,y,z'
'x,-y,z'
loop_
_atom_site_label
_atom_site_type_symbol
_atom_site_fract_x
_atom_site_fract_y
_atom_site_fract_z
_atom_site_occupancy
In1 In 0.000 0.000 0.000 1
Cu1 Cu 0.501 0.500 0.747 1
Re1 Re 0.000 0.000 0.507 1
Re2 Re 0.500 0.500 0.299 1
```


Please write out number 10 again, unchanged.
First-principles (GGA-PBE) data for an optimized crystal structure of InCuRe2, as listed in Alexandria via LeMat-Bulk.

Computed properties:
- VASP energy (eV per cell) = -30.82
- formation energy (eV/atom) = 0.227

```
data_InCuRe2
_space_group_name_H-M_alt 'P 1 m 1'
_space_group_IT_number 6
_cell_length_a 3.019
_cell_length_b 3.017
_cell_length_c 7.036
_cell_angle_alpha 90.00
_cell_angle_beta 90.09
_cell_angle_gamma 90.00
loop_
_space_group_symop_operation_xyz
'x,y,z'
'x,-y,z'
loop_
_atom_site_label
_atom_site_type_symbol
_atom_site_fract_x
_atom_site_fract_y
_atom_site_fract_z
_atom_site_occupancy
In1 In 0.000 0.000 0.000 1
Cu1 Cu 0.501 0.500 0.747 1
Re1 Re 0.000 0.000 0.507 1
Re2 Re 0.500 0.500 0.299 1
```


Q: Look up the VASP energy of the fourth one.
A: -49.97 eV per cell


Q: Which of these has the lowest VASP energy?
A: TmPu2S5